[1]
DFT (PBE) results for a geometry-optimized SrRu2Au structure.

Structure (POSCAR):
```
SrRu2Au
1.0
-2.0671 -3.6814 -4.1482
3.3437 -4.2882 -2.3377
-2.6153 2.4913 4.6891
Sr Au Ru
1 1 2
Direct
0.7500 0.2500 0.5000 Sr
0.2500 0.7500 0.5000 Au
0.4740 0.4740 0.0000 Ru
0.0260 0.0260 0.0000 Ru
```

Space group: Immm
Offset from the most stable computed form (meV/atom): 478
Total energy (eV/atom): -5.31
Total magnetic moment (μB/f.u.): 0.00
Energy of formation (kJ per mole of atoms): 55.0

***

[2]
DFT (PBE) results for a geometry-optimized Li2NpPd9 structure.

Structure (POSCAR):
```
Li2NpPd9
1.0
4.0647 0.0000 0.0000
0.0000 4.0647 0.0000
0.0000 0.0000 11.4894
Pd Li Np
9 2 1
Direct
0.5000 0.5000 0.3405 Pd
0.5000 0.0000 0.8234 Pd
0.5000 0.0000 0.5000 Pd
0.0000 0.5000 0.1766 Pd
0.5000 0.0000 0.1766 Pd
0.0000 0.5000 0.5000 Pd
0.0000 0.5000 0.8234 Pd
0.5000 0.5000 0.6595 Pd
0.5000 0.5000 0.0000 Pd
0.0000 0.0000 0.3437 Li
0.0000 0.0000 0.6563 Li
0.0000 0.0000 0.0000 Np
```

Space group: P4/mmm
Total energy (eV/atom): -5.61
Total magnetic moment (μB/f.u.): 2.68
Energy of formation (kJ per mole of atoms): -30.8

***

[3]
DFT (PBE) results for a geometry-optimized TbTmMg structure.

Structure (POSCAR):
```
TbTmMg
1.0
-0.1301 -3.3575 1.4441
5.3769 -0.4560 -0.5757
1.1853 5.0066 7.1056
Mg Tb Tm
2 2 2
Direct
0.4357 0.2500 0.3705 Mg
0.5643 0.7500 0.6295 Mg
0.7732 0.2500 0.0464 Tb
0.2268 0.7500 0.9536 Tb
0.9066 0.7500 0.3128 Tm
0.0934 0.2500 0.6872 Tm
```

Space group: Cmcm
Offset from the most stable computed form (meV/atom): 0
Total energy (eV/atom): -3.62
Total magnetic moment (μB/f.u.): 0.00
Energy of formation (kJ per mole of atoms): -4.9

***

[4]
DFT (PBE) results for a geometry-optimized KYBPb2 structure.

Structure (POSCAR):
```
KYBPb2
1.0
-4.5620 2.9801 -2.6074
-3.0203 -1.5887 3.4686
1.2730 4.8703 3.3392
Pb B Y K
2 1 1 1
Direct
0.5000 0.0000 0.0000 Pb
0.0000 0.0000 0.5000 Pb
0.0000 0.5000 0.0000 B
0.0000 0.0000 0.0000 Y
0.5000 0.5000 0.5000 K
```

Space group: P4/mmm
Total energy (eV/atom): -3.65
Total magnetic moment (μB/f.u.): 0.00
Energy of formation (kJ per mole of atoms): 65.6

***

[5]
DFT (PBE) results for a geometry-optimized Li4NdPu3O12 structure.

Structure (POSCAR):
```
Li4NdPu3O12
1.0
-4.3007 2.5756 4.7764
1.6884 -6.3751 2.1098
5.7933 3.7778 0.3310
Li O Pu Nd
4 12 3 1
Direct
0.9355 0.0645 0.5000 Li
0.0645 0.5000 0.9355 Li
0.5000 0.9355 0.0645 Li
0.5000 0.5000 0.5000 Li
0.6652 0.5000 0.3348 O
0.5000 0.1051 0.8949 O
0.8949 0.5000 0.1051 O
0.9709 0.2360 0.3340 O
0.6660 0.7640 0.0291 O
0.3348 0.6652 0.5000 O
0.5000 0.3348 0.6652 O
0.7640 0.0291 0.6660 O
0.1051 0.8949 0.5000 O
0.2360 0.3340 0.9709 O
0.3340 0.9709 0.2360 O
0.0291 0.6660 0.7640 O
0.4425 0.0000 0.5575 Pu
0.5575 0.4425 0.0000 Pu
0.0000 0.5575 0.4425 Pu
0.0000 0.0000 0.0000 Nd
```

Energy relative to the elements, uncorrected (eV/atom): -2.46
Space group: R32
Total energy (eV/atom): -8.21
Total magnetic moment (μB/f.u.): 7.00

***

[6]
DFT (PBE) results for a geometry-optimized VSi2N structure.

Structure (POSCAR):
```
VSi2N
1.0
5.5373 0.0000 0.0000
0.0000 5.5373 0.0000
2.7687 2.7687 3.3506
N V Si
2 2 4
Direct
0.2500 0.7500 0.5000 N
0.5000 0.5000 0.0000 N
0.7500 0.2500 0.5000 V
0.0000 0.0000 0.0000 V
0.5375 0.1250 0.2500 Si
0.3750 0.4625 0.7500 Si
0.8750 0.7875 0.7500 Si
0.2125 0.6250 0.2500 Si
```

Energy relative to the elements, uncorrected (eV/atom): 0.13
Space group: I-42d
Total energy (eV/atom): -6.95
Total magnetic moment (μB/f.u.): 0.00

***

[7]
DFT (PBE) results for a geometry-optimized PrErSe2O structure.

Structure (POSCAR):
```
PrErSe2O
1.0
-2.6255 0.6521 -3.0208
0.1799 -3.9248 -1.0036
-11.0704 -2.8123 9.0146
O Se Er Pr
2 4 2 2
Direct
0.0000 0.0000 0.5000 O
0.5000 0.5000 0.5000 O
0.0000 0.5000 0.6994 Se
0.5000 0.0000 0.3006 Se
0.5000 0.0000 0.9112 Se
0.0000 0.5000 0.0888 Se
0.0000 0.5000 0.8785 Er
0.5000 0.0000 0.1215 Er
0.0000 0.5000 0.4163 Pr
0.5000 0.0000 0.5837 Pr
```

Energy relative to the elements, uncorrected (eV/atom): -2.37
Space group: P4/nmm
Total energy (eV/atom): -6.62
Total magnetic moment (μB/f.u.): 0.00

***

[8]
DFT (PBE) results for a geometry-optimized PuFeAs2 structure.

Structure (POSCAR):
```
PuFeAs2
1.0
3.9031 0.0000 0.0000
1.9515 3.3802 0.0000
1.9515 1.1267 5.5062
As Pu Fe
2 1 1
Direct
0.7724 0.7724 0.6828 As
0.2276 0.2276 0.3172 As
0.0000 0.0000 0.0000 Pu
0.5000 0.5000 0.5000 Fe
```

Space group: R-3m
Total energy (eV/atom): -8.54
Total magnetic moment (μB/f.u.): 4.14
Energy of formation (kJ per mole of atoms): -49.7

***

[9]
DFT (PBE) results for a geometry-optimized LiPm2Cu3Ge4 structure.

Structure (POSCAR):
```
LiPm2Cu3Ge4
1.0
-2.1957 2.8484 -2.1336
-0.2697 -2.6329 -3.2375
-8.6894 -3.8256 3.8350
Pm Ge Cu Li
2 4 3 1
Direct
0.5000 0.0000 0.2512 Pm
0.0000 0.5000 0.7488 Pm
0.0000 0.5000 0.3661 Ge
0.5000 0.5000 0.0000 Ge
0.5000 0.0000 0.6339 Ge
0.0000 0.0000 0.0000 Ge
0.0000 0.0000 0.5000 Cu
0.5000 0.0000 0.8684 Cu
0.0000 0.5000 0.1316 Cu
0.5000 0.5000 0.5000 Li
```

Space group: P-4m2
Total energy (eV/atom): -4.74
Total magnetic moment (μB/f.u.): 0.00
Energy of formation (kJ per mole of atoms): -50.1

***

[10]
DFT (PBE) results for a geometry-optimized BaLi3Cu structure.

Structure (POSCAR):
```
BaLi3Cu
1.0
4.3159 -0.0002 0.0002
-0.0003 7.3939 1.8289
0.0001 0.1118 8.0929
Cu Li Ba
2 6 2
Direct
0.8818 0.8583 0.1476 Cu
0.3815 0.8171 0.6567 Cu
0.8809 0.7070 0.5030 Li
0.3810 0.9682 0.3027 Li
0.8805 0.2081 0.0392 Li
0.3805 0.4669 0.7676 Li
0.8808 0.7127 0.8637 Li
0.3809 0.9610 0.9423 Li
0.3810 0.5262 0.2155 Ba
0.8810 0.1483 0.5918 Ba
```

Space group: Pm
Offset from the most stable computed form (meV/atom): 0
Total energy (eV/atom): -2.32
Total magnetic moment (μB/f.u.): 0.00
Energy of formation (kJ per mole of atoms): 3.2

***

[11]
DFT (PBE) results for a geometry-optimized Al2ZnOs2 structure.

Structure (POSCAR):
```
Al2ZnOs2
1.0
-4.2807 -1.0018 5.1891
3.5063 -5.5348 1.8240
1.8820 1.8196 1.9038
Os Zn Al
4 2 4
Direct
0.8498 0.6502 0.0000 Os
0.3498 0.8498 0.0000 Os
0.1502 0.3498 0.0000 Os
0.6502 0.1502 0.0000 Os
0.0000 0.0000 0.0000 Zn
0.5000 0.5000 0.0000 Zn
0.6468 0.8532 0.5000 Al
0.8532 0.3532 0.5000 Al
0.1468 0.6468 0.5000 Al
0.3532 0.1468 0.5000 Al
```

Space group: P4/mbm
Offset from the most stable computed form (meV/atom): 0
Total energy (eV/atom): -6.38
Total magnetic moment (μB/f.u.): 0.00
Energy of formation (kJ per mole of atoms): -13.2

***

[12]
DFT (PBE) results for a geometry-optimized Be2Pt structure.

Structure (POSCAR):
```
Be2Pt
1.0
-2.4456 -3.7936 0.4866
2.9498 1.4766 3.1192
-2.9211 3.0876 -0.1967
Pt Be
2 4
Direct
0.0327 0.3029 0.0400 Pt
0.2836 0.0521 0.5401 Pt
0.6962 0.9654 0.3658 Be
0.6201 0.3894 0.2143 Be
0.3702 0.6395 0.7142 Be
0.9461 0.7154 0.8660 Be
```

Space group: C2/c
Offset from the most stable computed form (meV/atom): 0
Total energy (eV/atom): -5.15
Total magnetic moment (μB/f.u.): 0.00
Energy of formation (kJ per mole of atoms): -62.5

***

[13]
DFT (PBE) results for a geometry-optimized CsCu3Si structure.

Structure (POSCAR):
```
CsCu3Si
1.0
5.2954 0.0000 0.0000
0.0000 5.2954 0.0000
0.0000 0.0000 5.2954
Cu Si Cs
3 1 1
Direct
0.5000 0.0000 0.0000 Cu
0.0000 0.5000 0.0000 Cu
0.0000 0.0000 0.5000 Cu
0.5000 0.5000 0.5000 Si
0.0000 0.0000 0.0000 Cs
```

Energy relative to the elements, uncorrected (eV/atom): 2.08
Space group: Pm-3m
Offset from the most stable computed form (meV/atom): 1793
Total energy (eV/atom): -1.63
Total magnetic moment (μB/f.u.): 0.00

***

[14]
DFT (PBE) results for a geometry-optimized SrTe3C structure.

Structure (POSCAR):
```
SrTe3C
1.0
5.0097 0.0000 0.0000
0.0000 5.0097 0.0000
0.0000 0.0000 5.0097
Te C Sr
3 1 1
Direct
0.5000 0.0000 0.0000 Te
0.0000 0.0000 0.5000 Te
0.0000 0.5000 0.0000 Te
0.0000 0.0000 0.0000 C
0.5000 0.5000 0.5000 Sr
```

Energy relative to the elements, uncorrected (eV/atom): 0.24
Space group: Pm-3m
Offset from the most stable computed form (meV/atom): 0
Total energy (eV/atom): -3.83
Total magnetic moment (μB/f.u.): 0.00

***

[15]
DFT (PBE) results for a geometry-optimized LiSmSnRh structure.

Structure (POSCAR):
```
LiSmSnRh
1.0
-4.6888 0.8848 0.4637
-3.1644 -2.3525 -2.7267
-2.8777 -3.2921 1.9655
Rh Sm Sn Li
1 1 1 1
Direct
0.0000 0.0000 0.0000 Rh
0.7500 0.7500 0.7500 Sm
0.2500 0.2500 0.2500 Sn
0.5000 0.5000 0.5000 Li
```

Space group: F-43m
Total energy (eV/atom): -5.16
Total magnetic moment (μB/f.u.): 0.00
Energy of formation (kJ per mole of atoms): -64.3

***

[16]
DFT (PBE) results for a geometry-optimized KBeGeAs2 structure.

Structure (POSCAR):
```
KBeGeAs2
1.0
5.1977 0.0000 0.0000
-2.5988 7.4114 0.0000
0.0000 0.0000 6.3821
As K Ge Be
4 2 2 2
Direct
0.6012 0.2024 0.1890 As
0.8988 0.7976 0.1890 As
0.3988 0.7976 0.8110 As
0.1012 0.2024 0.8110 As
0.7500 0.5000 0.7364 K
0.2500 0.5000 0.2636 K
0.0000 0.0000 0.5000 Ge
0.5000 0.0000 0.5000 Ge
0.2500 0.0000 0.0000 Be
0.7500 0.0000 0.0000 Be
```

Space group: Cmme
Total energy (eV/atom): -3.79
Total magnetic moment (μB/f.u.): 0.00
Energy of formation (kJ per mole of atoms): -3.6

***

[17]
DFT (PBE) results for a geometry-optimized GaAgSn2 structure.

Structure (POSCAR):
```
GaAgSn2
1.0
-0.5486 -3.2645 0.0914
3.1890 -0.5555 -0.6986
1.7828 -0.0701 8.1939
Ag Sn Ga
1 2 1
Direct
0.5000 0.5000 0.0000 Ag
0.0000 0.0000 0.2391 Sn
0.0000 0.0000 0.7609 Sn
0.5000 0.5000 0.5000 Ga
```

Space group: P4/mmm
Total energy (eV/atom): -3.42
Total magnetic moment (μB/f.u.): 0.00
Energy of formation (kJ per mole of atoms): 4.6

***

[18]
DFT (PBE) results for a geometry-optimized TlInMo2Ru structure.

Structure (POSCAR):
```
TlInMo2Ru
1.0
5.0873 0.0000 0.0000
0.0000 5.1010 0.0000
0.0000 0.0000 5.0873
Mo Ru Tl In
2 1 1 1
Direct
0.0000 0.0000 0.5000 Mo
0.5000 0.0000 0.0000 Mo
0.5000 0.5000 0.5000 Ru
0.0000 0.0000 0.0000 Tl
0.0000 0.5000 0.0000 In
```

Space group: P4/mmm
Total energy (eV/atom): -4.56
Total magnetic moment (μB/f.u.): 6.04
Energy of formation (kJ per mole of atoms): 255.1

***

[19]
DFT (PBE) results for a geometry-optimized GdLuCdPt structure.

Structure (POSCAR):
```
GdLuCdPt
1.0
-1.8536 -2.2229 -4.1651
3.0426 -0.9162 -3.9533
1.3205 -4.7642 -1.1333
Cd Pt Lu Gd
1 1 1 1
Direct
0.2500 0.2500 0.2500 Cd
0.7500 0.7500 0.7500 Pt
0.0000 0.0000 0.0000 Lu
0.5000 0.5000 0.5000 Gd
```

Space group: F-43m
Total energy (eV/atom): -7.11
Total magnetic moment (μB/f.u.): 7.15
Energy of formation (kJ per mole of atoms): -69.8

***

[20]
DFT (PBE) results for a geometry-optimized AcPr2UO8 structure.

Structure (POSCAR):
```
AcPr2UO8
1.0
4.0390 -0.0406 -0.0019
0.0369 5.5904 -0.0062
0.0038 0.0086 7.9423
O Pr U Ac
8 2 1 1
Direct
0.4998 0.7304 0.5000 O
0.9984 0.2360 0.7879 O
0.0016 0.7641 0.7879 O
0.5002 0.2696 0.5000 O
0.9984 0.2359 0.2121 O
0.5027 0.7801 0.0000 O
0.4973 0.2199 0.0000 O
0.0016 0.7640 0.2121 O
0.5000 0.5000 0.2356 Pr
0.5000 0.5000 0.7644 Pr
0.0000 0.0000 0.0000 U
0.0000 0.0000 0.5000 Ac
```

Energy relative to the elements, uncorrected (eV/atom): -3.17
Space group: P2/m
Total energy (eV/atom): -8.55
Total magnetic moment (μB/f.u.): 0.99

***

[21]
DFT (PBE) results for a geometry-optimized CeURu3 structure.

Structure (POSCAR):
```
CeURu3
1.0
5.1534 0.0000 -2.8491
-2.3561 7.1398 -4.2616
0.1194 -1.4300 6.3011
Ru U Ce
6 2 2
Direct
0.3063 0.3063 0.1126 Ru
0.6937 0.6937 0.8874 Ru
0.7500 0.0597 0.5000 Ru
0.2500 0.9403 0.5000 Ru
0.1937 0.6937 0.8874 Ru
0.8063 0.3063 0.1126 Ru
0.5000 0.0000 0.0000 U
0.0000 0.5000 0.0000 U
0.2500 0.2664 0.5000 Ce
0.7500 0.7336 0.5000 Ce
```

Space group: Imma
Offset from the most stable computed form (meV/atom): 18
Total energy (eV/atom): -9.23
Total magnetic moment (μB/f.u.): 0.00
Energy of formation (kJ per mole of atoms): -21.6

***

[22]
DFT (PBE) results for a geometry-optimized NdErCo structure.

Structure (POSCAR):
```
NdErCo
1.0
-2.1882 -3.8399 -1.7225
-1.4101 -3.4450 2.9400
-4.6228 -0.6668 0.8279
Co Er Nd
1 1 1
Direct
0.2500 0.2500 0.2500 Co
0.5000 0.5000 0.5000 Er
0.0000 0.0000 0.0000 Nd
```

Space group: F-43m
Offset from the most stable computed form (meV/atom): 109
Total energy (eV/atom): -5.48
Total magnetic moment (μB/f.u.): 0.00
Energy of formation (kJ per mole of atoms): -0.3

***

[23]
DFT (PBE) results for a geometry-optimized YGa2ReS structure.

Structure (POSCAR):
```
YGa2ReS
1.0
-2.8665 3.0757 -2.2227
-3.6127 -0.4898 3.9814
2.0667 3.6015 2.3184
Ga Re S Y
2 1 1 1
Direct
0.5000 0.0000 0.0000 Ga
0.0000 0.0000 0.5000 Ga
0.0000 0.0000 0.0000 Re
0.5000 0.5000 0.5000 S
0.0000 0.5000 0.0000 Y
```

Energy relative to the elements, uncorrected (eV/atom): 0.13
Space group: P4/mmm
Total energy (eV/atom): -5.69
Total magnetic moment (μB/f.u.): 0.00

***

[24]
DFT (PBE) results for a geometry-optimized RbSn12Ir4 structure.

Structure (POSCAR):
```
RbSn12Ir4
1.0
-0.3739 -5.8672 5.8430
7.9218 1.4313 -1.9753
-3.4368 6.9769 2.8664
Sn Ir Rb
12 4 1
Direct
0.8346 0.3408 0.1754 Sn
0.6592 0.4937 0.8346 Sn
0.1754 0.8346 0.3408 Sn
0.3408 0.1754 0.8346 Sn
0.8346 0.6592 0.4937 Sn
0.4937 0.8346 0.6592 Sn
0.6592 0.8246 0.1654 Sn
0.1654 0.3408 0.5063 Sn
0.3408 0.5063 0.1654 Sn
0.1654 0.6592 0.8246 Sn
0.5063 0.1654 0.3408 Sn
0.8246 0.1654 0.6592 Sn
0.0000 0.0000 0.5000 Ir
0.5000 0.0000 0.0000 Ir
0.5000 0.5000 0.5000 Ir
0.0000 0.5000 0.0000 Ir
0.0000 0.0000 0.0000 Rb
```

Space group: Im-3
Total energy (eV/atom): -5.09
Total magnetic moment (μB/f.u.): 0.00
Energy of formation (kJ per mole of atoms): -11.5

***

[25]
DFT (PBE) results for a geometry-optimized Ag4Cl5O2 structure.

Structure (POSCAR):
```
Ag4Cl5O2
1.0
-1.8891 -3.3501 -1.3138
7.4139 -0.8345 -4.5030
1.8804 -2.2213 7.9250
Cl O Ag
5 2 4
Direct
0.5000 0.0000 0.0000 Cl
0.8984 0.2149 0.7067 Cl
0.1016 0.7851 0.2933 Cl
0.1900 0.3569 0.3207 Cl
0.8100 0.6431 0.6793 Cl
0.4886 0.4628 0.0546 O
0.5114 0.5372 0.9454 O
0.0234 0.2089 0.0041 Ag
0.3590 0.3926 0.6442 Ag
0.6410 0.6074 0.3558 Ag
0.9766 0.7911 0.9959 Ag
```

Energy relative to the elements, uncorrected (eV/atom): -0.31
Space group: P-1
Total energy (eV/atom): -3.08
Total magnetic moment (μB/f.u.): 1.00